## w
Compound: NaZrH2Pd
Source: the Alexandria database
Functional: PBE
Structure: optimized geometry

abc: 3.898 5.033 3.898
angles: 90.00 90.00 90.00
Atoms (fractional coordinates):
Pd: 0.000 0.500 0.000
H: 0.000 0.000 0.500
H: 0.500 0.000 0.000
Na: 0.000 0.000 0.000
Zr: 0.500 0.500 0.500

Properties
Its calculated volume is 15.29 Å³ per atom. The value obtained for the density of states at the Fermi level is 2.59 states/eV/f.u.

---

## x
Compound: NaZrH2Pd
Source: the Alexandria database
Functional: PBE
Structure: optimized geometry

abc: 3.787 5.838 3.787
angles: 90.00 90.00 90.00
Site moments in Bohr magnetons follow the coordinates.
Atoms (fractional coordinates):
Zr: 0.000 0.000 0.000  0.45
H: 0.000 0.000 0.500  0.00
H: 0.500 0.000 0.000  0.00
Pd: 0.500 0.500 0.500  -0.02
Na: 0.000 0.500 0.000  0.02

Properties
Its calculated volume is 16.74 Å³ per atom. The value obtained for the density of states at the Fermi level is 2.55 states/eV/f.u.

---

On energetic grounds, x is preferred over the next structure by 6.2 kJ/mol of atoms.

---

## w
Compound: NaPmH
Source: the Alexandria database
Functional: PBE
Structure: optimized geometry

abc: 3.517 3.517 6.456
angles: 90.00 90.00 120.00
Atoms (fractional coordinates):
Na: 0.000 0.000 0.070
Pm: 0.333 0.667 0.558
H: 0.667 0.333 0.373

Properties
Its calculated volume is 23.05 Å³ per atom. The value obtained for the density of states at the Fermi level is 2.11 states/eV/f.u.

---

## x
Compound: NaPmH
Source: the Alexandria database
Functional: PBE
Structure: optimized geometry

abc: 3.777 3.777 13.816
angles: 65.76 65.76 60.02
Atoms (fractional coordinates):
H: 0.865 0.865 0.331
H: 0.888 0.888 0.976
Na: 0.082 0.082 0.782
Pm: 0.171 0.171 0.026
Pm: 0.582 0.582 0.281
Na: 0.671 0.671 0.525

Properties
Its calculated volume is 25.06 Å³ per atom. The value obtained for the density of states at the Fermi level is 1.20 states/eV/f.u.

---

On energetic grounds, x is preferred over the next structure by 10.1 kJ/mol of atoms.

---

## w
Compound: NaPmH2
Source: the Alexandria database
Functional: PBE
Structure: optimized geometry

abc: 3.182 3.182 7.299
angles: 90.00 90.00 90.00
Atoms (fractional coordinates):
H: 0.000 0.000 0.857
Na: 0.500 0.500 0.500
Pm: 0.500 0.500 0.000
H: 0.000 0.000 0.143

Properties
Its calculated volume is 18.48 Å³ per atom. The value obtained for the density of states at the Fermi level is 1.49 states/eV/f.u.

---

## x
Compound: NaPmH2
Source: the Alexandria database
Functional: PBE
Structure: optimized geometry

abc: 3.723 3.723 6.474
angles: 73.29 73.29 60.00
Atoms (fractional coordinates):
H: 0.714 0.714 0.858
Pm: 0.000 0.000 0.000
Na: 0.500 0.500 0.500
H: 0.286 0.286 0.142

Properties
Its calculated volume is 18.33 Å³ per atom. The value obtained for the density of states at the Fermi level is 0.87 states/eV/f.u.

---

## y
Compound: NaPmH2
Source: the Alexandria database
Functional: PBE
Structure: optimized geometry

abc: 3.089 4.424 4.424
angles: 90.00 90.00 90.00
Atoms (fractional coordinates):
Pm: 0.500 0.500 0.500
H: 0.000 0.000 0.500
H: 0.000 0.500 0.000
Na: 0.500 0.000 0.000

Properties
Its calculated volume is 15.12 Å³ per atom. The value obtained for the density of states at the Fermi level is 2.22 states/eV/f.u.

---

On energetic grounds, x is preferred over the next structure by 24.4 kJ/mol of atoms.

---

## w
Compound: NaPrH
Source: the Alexandria database
Functional: PBE
Structure: optimized geometry

abc: 3.566 3.566 6.520
angles: 90.00 90.00 120.00
Atoms (fractional coordinates):
H: 0.667 0.333 0.369
Na: 0.000 0.000 0.073
Pr: 0.333 0.667 0.559

Properties
Its calculated volume is 23.93 Å³ per atom. The value obtained for the density of states at the Fermi level is 2.35 states/eV/f.u.

---

## x
Compound: NaPrH
Source: the Alexandria database
Functional: PBE
Structure: optimized geometry

abc: 3.419 3.419 6.988
angles: 104.16 104.16 90.00
Atoms (fractional coordinates):
Pr: 0.743 0.743 0.486
Na: 0.017 0.017 0.034
H: 0.240 0.240 0.480

Properties
Its calculated volume is 25.54 Å³ per atom. The value obtained for the density of states at the Fermi level is 2.70 states/eV/f.u.

---

On energetic grounds, w is preferred over the next structure by 8.1 kJ/mol of atoms.

---

## w
Compound: Na2H4Pt
Source: the Alexandria database
Functional: PBE
Structure: optimized geometry

abc: 3.802 3.802 6.051
angles: 71.69 71.69 90.00
Atoms (fractional coordinates):
Pt: 0.000 0.000 0.000
Na: 0.363 0.363 0.273
H: 0.845 0.845 0.310
H: 0.000 0.500 0.000
H: 0.155 0.155 0.690
H: 0.500 0.000 0.000
Na: 0.637 0.637 0.727

Properties
Its calculated volume is 11.19 Å³ per atom. The value obtained for the density of states at the Fermi level is 0.41 states/eV/f.u.

---

## x
Compound: Na2H4Pt
Source: the Alexandria database
Functional: PBE
Structure: optimized geometry

abc: 6.045 4.841 7.427
angles: 90.00 127.92 90.00
Atoms (fractional coordinates):
Na: 0.716 0.750 0.103
Pt: 0.792 0.250 0.896
H: 0.803 0.250 0.678
Pt: 0.208 0.750 0.104
H: 0.458 0.988 0.229
H: 0.197 0.750 0.874
H: 0.197 0.750 0.322
H: 0.542 0.488 0.771
H: 0.542 0.012 0.771
H: 0.803 0.250 0.126
Na: 0.284 0.250 0.897
Na: 0.285 0.250 0.388
Na: 0.715 0.750 0.612
H: 0.458 0.512 0.229

Properties
Its calculated volume is 12.25 Å³ per atom.

---

On energetic grounds, w is preferred over the next structure by 2.5 kJ/mol of atoms.

---

## w
Compound: NaHPt
Source: the Alexandria database
Functional: PBE
Structure: optimized geometry

abc: 5.278 5.462 13.117
angles: 85.70 90.00 90.00
Atoms (fractional coordinates):
Pt: 0.632 0.719 0.134
Na: 0.632 0.540 0.796
Pt: 0.619 0.347 0.570
H: 0.062 0.038 0.783
Pt: 0.132 0.281 0.866
Na: 0.641 0.018 0.930
H: 0.683 0.087 0.657
H: 0.562 0.962 0.217
Na: 0.135 0.568 0.659
Na: 0.635 0.432 0.341
H: 0.373 0.494 0.492
Pt: 0.119 0.653 0.430
Pt: 0.895 0.937 0.281
Na: 0.132 0.460 0.204
Pt: 0.395 0.063 0.719
Na: 0.610 0.869 0.486
H: 0.082 0.511 0.947
Pt: 0.635 0.229 0.139
H: 0.873 0.506 0.508
H: 0.582 0.489 0.053
H: 0.183 0.913 0.343
Na: 0.141 0.982 0.070
Pt: 0.135 0.771 0.861
Na: 0.110 0.131 0.514

Properties
Its calculated volume is 15.71 Å³ per atom. The value obtained for the density of states at the Fermi level is 0.28 states/eV/f.u.

---

## x
Compound: NaHPt
Source: the Alexandria database
Functional: PBE
Structure: optimized geometry

abc: 2.798 7.046 5.339
angles: 55.31 89.97 89.79
Atoms (fractional coordinates):
H: 0.745 0.847 0.425
Pt: 0.750 0.325 0.522
H: 0.251 0.150 0.579
Na: 0.744 0.786 0.907
Na: 0.250 0.210 0.098
Pt: 0.246 0.672 0.482

Properties
Its calculated volume is 14.43 Å³ per atom. The value obtained for the density of states at the Fermi level is 0.42 states/eV/f.u.

---

## y
Compound: NaHPt
Source: the Alexandria database
Functional: PBE
Structure: optimized geometry

abc: 4.780 3.152 3.152
angles: 120.00 90.00 90.00
Atoms (fractional coordinates):
H: 0.165 0.667 0.333
Pt: 0.167 0.000 0.000
Na: 0.667 0.333 0.667

Properties
Its calculated volume is 13.71 Å³ per atom. The value obtained for the density of states at the Fermi level is 0.89 states/eV/f.u.

---

On energetic grounds, x is preferred over the next structure by 5.8 kJ/mol of atoms.

---

## w
Compound: NaHPt2
Source: the Alexandria database
Functional: PBE
Structure: optimized geometry

abc: 2.791 2.791 8.321
angles: 80.35 80.35 60.00
Atoms (fractional coordinates):
Na: 0.000 0.000 0.000
Pt: 0.111 0.111 0.667
H: 0.500 0.500 0.500
Pt: 0.889 0.889 0.333

Properties
Its calculated volume is 13.77 Å³ per atom. The value obtained for the density of states at the Fermi level is 1.20 states/eV/f.u.

---

## x
Compound: NaHPt2
Source: the Alexandria database
Functional: PBE
Structure: optimized geometry

abc: 4.256 4.256 4.256
angles: 60.00 60.00 60.00
Atoms (fractional coordinates):
Pt: 0.750 0.750 0.750
H: 0.000 0.000 0.000
Pt: 0.250 0.250 0.250
Na: 0.500 0.500 0.500

Properties
Its calculated volume is 13.63 Å³ per atom. The value obtained for the density of states at the Fermi level is 1.33 states/eV/f.u.

---

## y
Compound: NaHPt2
Source: the Alexandria database
Functional: PBE
Structure: optimized geometry

abc: 5.671 5.671 5.672
angles: 60.01 60.01 90.00
Atoms (fractional coordinates):
Pt: 0.375 0.625 0.750
H: 0.250 0.750 0.500
Na: 0.000 0.000 0.000
H: 0.500 0.500 0.000
Pt: 0.375 0.125 0.250
Pt: 0.875 0.625 0.750
Na: 0.750 0.250 0.500
Pt: 0.375 0.625 0.250

Properties
Its calculated volume is 16.13 Å³ per atom. The value obtained for the density of states at the Fermi level is 2.03 states/eV/f.u.

---

On energetic grounds, y is preferred over the next structure by 21.3 kJ/mol of atoms.

---

## w
Compound: NaH2Pt2
Source: the Alexandria database
Functional: PBE
Structure: optimized geometry

abc: 3.826 3.826 5.863
angles: 70.96 70.96 90.00
Atoms (fractional coordinates):
Pt: 0.734 0.734 0.531
H: 0.750 0.250 0.500
Na: 0.000 0.000 0.000
H: 0.250 0.750 0.500
Pt: 0.266 0.266 0.469

Properties
Its calculated volume is 15.22 Å³ per atom. The value obtained for the density of states at the Fermi level is 0.88 states/eV/f.u.

---

## x
Compound: NaH2Pt2
Source: the Alexandria database
Functional: PBE
Structure: optimized geometry

abc: 5.566 5.566 5.707
angles: 119.18 119.18 90.00
Atoms (fractional coordinates):
Pt: 0.467 0.210 0.934
H: 0.683 0.982 0.366
Pt: 0.974 0.217 0.434
H: 0.232 0.433 0.866
Na: 0.131 0.631 0.262
H: 0.683 0.384 0.366
Pt: 0.467 0.724 0.934
H: 0.634 0.433 0.866
Na: 0.881 0.881 0.762
Pt: 0.460 0.217 0.434

Properties
Its calculated volume is 12.80 Å³ per atom. The value obtained for the density of states at the Fermi level is 1.08 states/eV/f.u.

---

On energetic grounds, x is preferred over the next structure by 10.3 kJ/mol of atoms.

---

## w
Compound: Na3H3Pt
Source: the Alexandria database
Functional: PBE
Structure: optimized geometry

abc: 4.947 6.357 6.357
angles: 98.47 90.00 90.00
Atoms (fractional coordinates):
Na: 0.750 0.875 0.125
H: 0.250 0.860 0.140
Na: 0.250 0.193 0.411
Pt: 0.750 0.322 0.678
Na: 0.250 0.125 0.875
H: 0.750 0.140 0.860
Na: 0.750 0.411 0.193
H: 0.250 0.852 0.550
Na: 0.750 0.807 0.589
H: 0.750 0.550 0.852
Na: 0.250 0.589 0.807
H: 0.250 0.450 0.148
Pt: 0.250 0.678 0.322
H: 0.750 0.148 0.450

Properties
Its calculated volume is 14.12 Å³ per atom. The value obtained for the density of states at the Fermi level is 0.64 states/eV/f.u.

---

## x
Compound: Na3H3Pt
Source: the Alexandria database
Functional: PBE
Structure: optimized geometry

abc: 4.443 5.447 5.447
angles: 112.90 105.78 105.78
Atoms (fractional coordinates):
H: 0.460 0.000 0.324
Na: 0.992 0.402 0.000
H: 0.460 0.324 0.000
Pt: 0.344 0.000 0.000
Na: 0.590 0.598 0.598
H: 0.137 0.676 0.676
Na: 0.992 0.000 0.402

Properties
Its calculated volume is 15.10 Å³ per atom. The value obtained for the density of states at the Fermi level is 0.64 states/eV/f.u.

---

On energetic grounds, w is preferred over the next structure by 5.3 kJ/mol of atoms.

---

## w
Compound: NaH8Pt2
Source: the Alexandria database
Functional: PBE
Structure: optimized geometry

abc: 3.553 5.367 6.022
angles: 63.50 90.00 90.00
Atoms (fractional coordinates):
H: 0.000 0.123 0.284
H: 0.606 0.500 0.000
H: 0.500 0.228 0.543
H: 0.000 0.406 0.716
Pt: 0.000 0.770 0.460
H: 0.000 0.877 0.716
H: 0.000 0.594 0.284
H: 0.394 0.500 0.000
H: 0.500 0.772 0.457
Na: 0.500 0.000 0.000
Pt: 0.000 0.230 0.540

Properties
Its calculated volume is 9.34 Å³ per atom. The value obtained for the density of states at the Fermi level is 1.49 states/eV/f.u.

---

## x
Compound: NaH8Pt2
Source: the Alexandria database
Functional: PBE
Structure: optimized geometry

abc: 4.921 4.725 4.789
angles: 114.13 88.13 95.37
Atoms (fractional coordinates):
H: 0.379 0.292 0.766
H: 0.774 0.447 0.526
H: 0.226 0.553 0.474
Pt: 0.076 0.338 0.676
H: 0.889 0.972 0.667
Na: 0.500 0.000 0.000
Pt: 0.924 0.662 0.324
H: 0.621 0.708 0.234
H: 0.074 0.697 0.984
H: 0.926 0.303 0.016
H: 0.111 0.028 0.333

Properties
Its calculated volume is 9.20 Å³ per atom. The value obtained for the density of states at the Fermi level is 1.23 states/eV/f.u.

---

On energetic grounds, w is preferred over the next structure by 5.6 kJ/mol of atoms.

---

## w
Compound: RbNaH
Source: the Alexandria database
Functional: PBE
Structure: optimized geometry

abc: 3.946 7.225 7.562
angles: 99.73 90.38 105.49
Atoms (fractional coordinates):
Na: 0.220 0.558 0.035
Na: 0.901 0.913 0.307
H: 0.316 0.740 0.378
Rb: 0.667 0.444 0.478
Rb: 0.463 0.024 0.758
H: 0.027 0.159 0.530

Properties
Its calculated volume is 34.08 Å³ per atom. The value obtained for the density of states at the Fermi level is 0.98 states/eV/f.u.

---

## x
Compound: RbNaH
Source: the Alexandria database
Functional: PBE
Structure: optimized geometry

abc: 3.885 7.774 13.904
angles: 90.00 90.11 90.00
Atoms (fractional coordinates):
H: 0.410 0.500 0.667
Na: 0.411 0.000 0.506
Na: 0.405 0.000 0.007
H: 0.411 0.500 0.167
H: 0.410 0.000 0.167
Na: 0.405 0.500 0.507
Na: 0.411 0.500 0.006
Rb: 0.911 0.250 0.232
Rb: 0.911 0.250 0.732
Rb: 0.911 0.750 0.232
Rb: 0.911 0.750 0.732
H: 0.411 0.000 0.667

Properties
Its calculated volume is 34.99 Å³ per atom. The value obtained for the density of states at the Fermi level is 1.44 states/eV/f.u.

---

On energetic grounds, w is preferred over the next structure by 0.6 kJ/mol of atoms.